Computed, not measured: Zn3RhBr after structural relaxation at the GGA-PBE level of DFT.

a = 4.8706 Å, b = 4.8706 Å, c = 4.8706 Å
α = 90.00°, β = 90.00°, γ = 90.00°
Sites, in units of the cell vectors:
Zn  0.0000  0.0000  0.5000
Zn  0.0000  0.5000  0.0000
Zn  0.5000  0.0000  0.0000
Rh  0.5000  0.5000  0.5000
Br  0.0000  0.0000  0.0000

Output
distance to the lowest polymorph of the same formula	1093	meV per atom
formation energy without anion corrections	1.1944	eV per atom
density of states at the Fermi level	8.62	states/eV/cell

***

Computed, not measured: SrNbIn2Pt after structural relaxation at the GGA-PBE level of DFT.

a = 5.4304 Å, b = 5.4304 Å, c = 4.9403 Å
α = 90.00°, β = 90.00°, γ = 90.00°
Sites, in units of the cell vectors:
Sr  0.0000  0.0000  0.0000
Nb  0.5000  0.5000  0.5000
In  0.0000  0.5000  0.5000
In  0.5000  0.0000  0.5000
Pt  0.5000  0.5000  0.0000

Output
E_form	0.0473	eV per atom
density of states at the Fermi level	2.83	states/eV/cell

***

In the order shown, the computed total DFT energy (no corrections) values come out to -0.10105, -0.33857 Ry per atom.
In the order shown, the computed M_tot values come out to 0.00, 0.00 μB/f.u..